Arrangement a

{
  "formula": "La3MgZn",
  "functional": "PBE-GGA",
  "state": "optimized geometry",
  "lattice": [[2.7507, -10.0703, 0.0000], [2.7507, 10.0703, 0.0000], [0.0000, 0.0000, 5.4913]],
  "species": ["La", "La", "La", "La", "La", "La", "Mg", "Mg", "Zn", "Zn"],
  "fractional_positions": [[0.0634, 0.9366, 0.7500], [0.2500, 0.7500, 0.7500], [0.4349, 0.5651, 0.7500], [0.5651, 0.4349, 0.2500], [0.7500, 0.2500, 0.2500], [0.9366, 0.0634, 0.2500], [0.1553, 0.8447, 0.2500], [0.8447, 0.1553, 0.7500], [0.3439, 0.6561, 0.2500], [0.6561, 0.3439, 0.7500]],
  "crystal_system": "orthorhombic",
  "space_group": "Cmcm",
  "magnetic_moment_mub_per_fu": 0.0
}

---

Arrangement b

{
  "formula": "La3MgZn",
  "functional": "PBE-GGA",
  "state": "optimized geometry",
  "lattice": [[5.8427, 0.0000, 0.0000], [0.0000, 5.8427, 0.0000], [0.0000, 0.0000, 5.8427]],
  "species": ["La", "La", "La", "Mg", "Zn"],
  "fractional_positions": [[0.0000, 0.0000, 0.5000], [0.0000, 0.5000, 0.0000], [0.5000, 0.0000, 0.0000], [0.0000, 0.0000, 0.0000], [0.5000, 0.5000, 0.5000]],
  "crystal_system": "cubic",
  "space_group": "Pm-3m",
  "magnetic_moment_mub_per_fu": 0.0
}

---

Relative energies, unit meV/atom: arrangement a 0; arrangement b 798